Ti12Cd5Ga3 after structural relaxation, computed with GGA-PBE. Values from VASP.

formation energy from the elements	59.84	kJ per mole of atoms
theoretical density	4.60	Mg/m³
space-group type	No. 230

```
&SYSTEM
  ibrav = 0, nat = 80, ntyp = 3
/
ATOMIC_SPECIES
Ti 47.87 Ti.upf
Cd 112.41 Cd.upf
Ga 69.72 Ga.upf
CELL_PARAMETERS angstrom
13.613 0.000 0.000
-4.538 12.835 0.000
-4.538 -6.417 11.115
ATOMIC_POSITIONS crystal
Ti 0.343 0.426 0.074
Ti 0.918 0.574 0.148
Ti 0.343 0.918 0.769
Ti 0.926 0.074 0.657
Ti 0.574 0.918 0.648
Ti 0.769 0.352 0.926
Ti 0.582 0.231 0.157
Ti 0.731 0.574 0.148
Ti 0.852 0.926 0.082
Cd 0.500 0.000 0.500
Ti 0.426 0.269 0.352
Ti 0.574 0.843 0.426
Ti 0.769 0.418 0.343
Ti 0.657 0.574 0.926
Ti 0.082 0.657 0.731
Cd 0.375 0.125 0.750
Cd 0.500 0.000 0.000
Ga 0.250 0.625 0.875
Ti 0.574 0.731 0.648
Cd 0.250 0.375 0.625
Cd 0.125 0.750 0.375
Ti 0.074 0.148 0.231
Ti 0.926 0.852 0.769
Ga 0.875 0.125 0.250
Ti 0.926 0.074 0.843
Ti 0.074 0.926 0.343
Cd 0.625 0.875 0.250
Ga 0.625 0.250 0.375
Ga 0.750 0.375 0.125
Ti 0.352 0.769 0.426
Ga 0.875 0.750 0.125
Ti 0.843 0.269 0.418
Ti 0.657 0.082 0.231
Ti 0.731 0.157 0.082
Cd 0.625 0.750 0.875
Cd 0.500 0.500 0.000
Ti 0.352 0.582 0.426
Ti 0.426 0.157 0.574
Ga 0.250 0.125 0.375
Ti 0.157 0.731 0.582
Ti 0.582 0.352 0.926
Ti 0.082 0.426 0.852
Cd 0.000 0.000 0.000
Ti 0.426 0.082 0.352
Ga 0.750 0.875 0.625
Ti 0.269 0.426 0.852
Cd 0.000 0.500 0.500
Ti 0.231 0.648 0.074
Cd 0.750 0.125 0.875
Ti 0.157 0.426 0.074
Ti 0.852 0.926 0.269
Ga 0.625 0.375 0.750
Ga 0.375 0.625 0.250
Ti 0.926 0.852 0.582
Ti 0.648 0.231 0.574
Cd 0.500 0.500 0.500
Ti 0.426 0.343 0.574
Ti 0.231 0.582 0.657
Ti 0.269 0.843 0.918
Ti 0.574 0.657 0.426
Cd 0.875 0.250 0.625
Ti 0.843 0.574 0.926
Ga 0.125 0.875 0.750
Ti 0.418 0.648 0.074
Cd 0.750 0.625 0.375
Ti 0.418 0.769 0.843
Ti 0.648 0.418 0.574
Cd 0.000 0.500 0.000
Cd 0.000 0.000 0.500
Ti 0.074 0.926 0.157
Ga 0.125 0.250 0.875
Cd 0.875 0.625 0.750
Cd 0.375 0.250 0.125
Ti 0.148 0.074 0.731
Cd 0.125 0.375 0.250
Ga 0.375 0.750 0.625
Cd 0.250 0.875 0.125
Ti 0.074 0.148 0.418
Ti 0.148 0.074 0.918
Ti 0.918 0.343 0.269
```